DFT (GGA+U) results for crystalline Li4Mn3OF8 at its relaxed geometry.

CIF file:
```
data_Li4Mn3OF8
_chemical_formula_sum 'Li12 Mn9 O3 F24'
_cell_length_a 5.1767
_cell_length_b 10.4954
_cell_length_c 10.5181
_cell_angle_alpha 83.50
_cell_angle_beta 89.89
_cell_angle_gamma 88.29
_symmetry_space_group_name_H-M 'P 1'
_symmetry_Int_Tables_number 1
loop_
_symmetry_equiv_pos_as_xyz
'x,y,z'
loop_
_atom_site_label
_atom_site_fract_x
_atom_site_fract_y
_atom_site_fract_z
Li1 0.0000 0.0000 0.0000
Li2 0.0013 0.0579 0.2701
Li3 0.0135 0.2601 0.4749
Li4 0.0145 0.4758 0.2672
Li5 0.0226 0.2835 0.0657
Li6 0.8942 0.8654 0.6714
Li7 0.9075 0.8157 0.4056
Li8 0.9186 0.6537 0.9171
Li9 0.9490 0.4028 0.8253
Li10 0.9522 0.1444 0.7439
Li11 0.9591 0.5413 0.5481
Li12 0.9717 0.7592 0.1596
Mn1 0.4086 0.6386 0.7019
Mn2 0.4406 0.6088 0.3891
Mn3 0.4676 0.9234 0.1691
Mn4 0.4730 0.8887 0.8704
Mn5 0.4768 0.1670 0.9504
Mn6 0.4774 0.5388 0.0680
Mn7 0.4805 0.3613 0.6038
Mn8 0.5110 0.2608 0.2848
Mn9 0.5142 0.0735 0.5295
O1 0.5995 0.5500 0.5665
O2 0.6429 0.9953 0.0020
O3 0.6532 0.2511 0.4701
F1 0.1186 0.8865 0.2731
F2 0.1268 0.6914 0.4883
F3 0.1456 0.4321 0.4341
F4 0.1509 0.4831 0.6931
F5 0.1638 0.1077 0.1120
F6 0.1927 0.8428 0.0281
F7 0.1941 0.0566 0.8548
F8 0.1947 0.1420 0.3822
F9 0.2069 0.6210 0.2133
F10 0.2098 0.2003 0.6232
F11 0.2106 0.3092 0.9151
F12 0.2199 0.3752 0.1707
F13 0.2431 0.8278 0.7147
F14 0.2757 0.6149 0.9004
F15 0.6423 0.0559 0.2862
F16 0.6562 0.7633 0.2933
F17 0.6568 0.4783 0.2578
F18 0.6725 0.2596 0.0969
F19 0.7016 0.0179 0.7171
F20 0.7085 0.2800 0.7749
F21 0.7077 0.7080 0.0505
F22 0.7174 0.7402 0.7793
F23 0.7228 0.9039 0.5151
F24 0.7825 0.4870 0.9499
```

## Properties
- E_tot: -270.02 eV per cell
- Volume: 567.54 Å³ per cell